Record 1
GGA-PBE LiHfB, optimized geometry; energy relative to the lowest polymorph listed for this composition = 500 meV/atom; calculated formation energy = 0.433 eV per formula unit
1.0
3.455 0.000 0.000
-1.727 2.992 0.000
0.000 0.000 9.574
Li Hf B
2 2 2
Direct
0.000 0.000 0.000
0.000 0.000 0.500
0.333 0.667 0.217
0.333 0.667 0.783
0.667 0.333 0.086
0.667 0.333 0.914

Record 2
GGA-PBE Cu4NiAu7, optimized geometry; energy relative to the lowest polymorph listed for this composition = 0 meV/atom; calculated formation energy = 0.957 eV per formula unit
1.0
4.969 0.000 0.000
-0.012 5.019 0.000
-0.832 -2.474 7.783
Cu Ni Au
4 1 7
Direct
0.195 0.125 0.263
0.196 0.637 0.262
0.804 0.363 0.738
0.805 0.875 0.737
0.000 0.500 0.500
0.164 0.231 0.965
0.259 0.051 0.602
0.314 0.663 0.828
0.500 0.500 0.500
0.686 0.337 0.172
0.741 0.949 0.398
0.836 0.769 0.035

Record 3
GGA-PBE OsSeCl2, optimized geometry; E_form (uncorrected) = 0.54 eV per atom; energy relative to the lowest polymorph listed for this composition = 659 meV/atom
1.0
1.737 1.003 9.127
-1.737 1.003 9.127
0.000 -2.006 9.127
Os Se Cl
1 1 2
Direct
0.000 0.000 0.000
0.500 0.500 0.500
0.287 0.287 0.287
0.713 0.713 0.713

Record 4
GGA-PBE RbY2Hf, optimized geometry; energy relative to the lowest polymorph listed for this composition = 354 meV/atom; calculated formation energy = 4.900 eV per formula unit
1.0
-2.468 2.468 11.463
2.468 -2.468 11.463
2.468 2.468 -11.463
Rb Y Hf
2 4 2
Direct
0.000 0.000 0.000
0.750 0.250 0.500
0.153 0.625 0.028
0.375 0.403 0.528
0.597 0.125 0.972
0.875 0.847 0.472
0.250 0.750 0.500
0.500 0.500 0.000

Record 5
GGA-PBE CsTe2, optimized geometry; E_form (uncorrected) = -0.54 eV per atom; energy relative to the lowest polymorph listed for this composition = 48 meV/atom
1.0
-2.225 2.225 6.666
2.225 -2.225 6.666
2.225 2.225 -6.666
Cs Te
1 2
Direct
0.000 0.000 0.000
0.271 0.271 0.000
0.729 0.729 0.000

Record 6
GGA-PBE ErPa2Rh5, optimized geometry; calculated formation energy = -6.684 eV per formula unit
1.0
5.891 0.000 0.000
0.000 11.617 0.000
0.000 0.000 4.330
Er Pa Rh
2 4 10
Direct
0.000 0.000 0.000
0.500 0.500 0.000
0.157 0.353 0.500
0.343 0.853 0.500
0.657 0.147 0.500
0.843 0.647 0.500
0.000 0.500 0.000
0.089 0.749 0.000
0.198 0.115 0.500
0.302 0.615 0.500
0.411 0.249 0.000
0.500 0.000 0.000
0.589 0.751 0.000
0.698 0.385 0.500
0.802 0.885 0.500
0.911 0.251 0.000

Record 7
GGA-PBE Ac2Sn5Ir3, optimized geometry; energy relative to the lowest polymorph listed for this composition = 0 meV/atom; calculated formation energy = -5.830 eV per formula unit
1.0
-5.635 6.536 3.264
5.635 -6.536 3.264
5.635 6.536 -3.264
Ac Sn Ir
4 10 6
Direct
0.140 0.230 0.370
0.360 0.730 0.090
0.640 0.270 0.910
0.860 0.770 0.630
0.021 0.750 0.271
0.092 0.660 0.752
0.250 0.250 0.000
0.408 0.160 0.567
0.479 0.750 0.729
0.521 0.250 0.271
0.592 0.840 0.433
0.750 0.750 0.000
0.908 0.340 0.248
0.979 0.250 0.729
0.139 0.886 0.026
0.250 0.750 0.500
0.361 0.386 0.747
0.639 0.614 0.253
0.750 0.250 0.500
0.861 0.114 0.974

Record 8
GGA-PBE Ba2SrCa2, optimized geometry; energy relative to the lowest polymorph listed for this composition = 0 meV/atom; calculated formation energy = 0.529 eV per formula unit
1.0
11.054 0.000 0.000
0.000 11.054 0.000
0.000 0.000 4.495
Ba Sr Ca
4 2 4
Direct
0.173 0.327 0.000
0.327 0.827 0.000
0.673 0.173 0.000
0.827 0.673 0.000
0.000 0.000 0.500
0.500 0.500 0.500
0.123 0.623 0.500
0.377 0.123 0.500
0.623 0.877 0.500
0.877 0.377 0.500

Number 1: ρ 6.6 g/cm³. Number 2: ρ 14.5 g/cm³. Number 3: ρ 5.9 g/cm³. Number 4: ρ 5.3 g/cm³. Number 5: ρ 4.9 g/cm³. Number 6: ρ 12.8 g/cm³. Number 7: ρ 11.2 g/cm³. Number 8: ρ 2.7 g/cm³.